The following is a DFT calculation (PBEsol) of an optimized crystal structure of Ca2ZnNi.

POSCAR file:
```
Ca2ZnNi
1.0
-1.7573 2.4221 5.0951
1.7573 -2.4221 5.0951
1.7573 2.4221 -5.0951
Ca Zn Ni
2 1 1
Direct
0.0000 0.0000 0.0000
0.7044 0.2044 0.5000
0.4133 0.4133 0.0000
0.2563 0.7563 0.5000
```

## Properties
Fermi-level density of states	2.756	states/eV/f.u.
crystal system	orthorhombic
E	-3.06	eV/atom
theoretical density	3.9	g/cm³
volume	87	Å³ per cell



The following is a DFT calculation (PBEsol) of an optimized crystal structure of TlInNiOs2.

POSCAR file:
```
TlInNiOs2
1.0
4.9187 0.0000 0.0000
0.0000 4.9187 0.0000
0.0000 0.0000 4.5340
Tl In Ni Os
1 1 1 2
Direct
0.0000 0.0000 0.0000
0.5000 0.5000 0.5000
0.0000 0.0000 0.5000
0.0000 0.5000 0.0000
0.5000 0.0000 0.0000
```

## Properties
Fermi-level density of states	6.309	states/eV/f.u.
crystal system	tetragonal
E	-4.87	eV/atom
theoretical density	11.5	g/cm³
volume	110	Å³ per cell



The following is a DFT calculation (PBEsol) of an optimized crystal structure of SiMo2N.

POSCAR file:
```
SiMo2N
1.0
-2.4658 2.4658 5.1600
2.4658 -2.4658 5.1600
2.4658 2.4658 -5.1600
Si Mo N
2 4 2
Direct
0.0000 0.0000 0.0000
0.7500 0.2500 0.5000
0.2116 0.6250 0.0866
0.3750 0.4616 0.5866
0.5384 0.1250 0.9134
0.8750 0.7884 0.4134
0.2500 0.7500 0.5000
0.5000 0.5000 0.0000
```

## Properties
energy relative to the elements, uncorrected	0.276	eV per atom
Fermi-level density of states	3.937	states/eV/f.u.
energy above the lowest structure with this stoichiometry	0.0	meV/atom
crystal system	tetragonal
theoretical density	6.2	g/cm³
volume	125	Å³ per cell



The following is a DFT calculation (PBEsol) of an optimized crystal structure of LiTlHgH2.

POSCAR file:
```
LiTlHgH2
1.0
3.7820 0.0000 0.0000
0.0000 3.7820 0.0000
0.0000 0.0000 6.1323
Li Tl Hg H
1 1 1 2
Direct
0.0000 0.0000 0.0000
0.5000 0.5000 0.0000
0.5000 0.5000 0.5000
0.0000 0.5000 0.5000
0.5000 0.0000 0.5000
```

## Properties
Fermi-level density of states	1.602	states/eV/f.u.
crystal system	tetragonal
E	-2.05	eV/atom
theoretical density	7.8	g/cm³
volume	88	Å³ per cell